(1)
A plane-wave DFT calculation with PBE was carried out for crystalline Na3Ge8Pd3 at its relaxed geometry.

Summary:
Total DFT energy (no corrections) (eV per cell): -59.402
Excess energy over the best structure of this formula in the dataset (eV/atom): 0.002
Energy of formation from the pure elements (meV per atom): -209

a = 8.039 Å, b = 8.039 Å, c = 9.267 Å
α = 123.07°, β = 123.07°, γ = 32.56°
Fractional positions:
Na 0.000 0.000 0.000
Na 0.285 0.285 0.277
Na 0.715 0.715 0.723
Ge 0.149 0.149 0.868
Ge 0.151 0.151 0.440
Ge 0.348 0.348 0.726
Ge 0.499 0.499 0.666
Ge 0.501 0.501 0.334
Ge 0.652 0.652 0.274
Ge 0.849 0.849 0.560
Ge 0.851 0.851 0.132
Pd 0.000 0.000 0.500
Pd 0.351 0.351 0.001
Pd 0.649 0.649 0.999

(2)
A plane-wave DFT calculation with PBE was carried out for crystalline Pm4N3O at its relaxed geometry.

Summary:
Total DFT energy (no corrections) (eV per cell): -63.580
Excess energy over the best structure of this formula in the dataset (eV/atom): 0.024

a = 5.080 Å, b = 5.080 Å, c = 5.080 Å
α = 90.00°, β = 90.00°, γ = 90.00°
Fractional positions:
Pm 0.000 0.000 0.000
Pm 0.000 0.500 0.500
Pm 0.500 0.000 0.500
Pm 0.500 0.500 0.000
N 0.000 0.000 0.500
N 0.000 0.500 0.000
N 0.500 0.000 0.000
O 0.500 0.500 0.500

(3)
A plane-wave DFT calculation with PBE was carried out for crystalline Ga2CuPbAu4 at its relaxed geometry.

Summary:
Total DFT energy (no corrections) (eV per cell): -27.714
Energy of formation from the pure elements (meV per atom): -93

a = 9.663 Å, b = 9.663 Å, c = 9.663 Å
α = 26.36°, β = 26.36°, γ = 26.36°
Fractional positions:
Ga 0.238 0.238 0.238
Ga 0.762 0.762 0.762
Cu 0.500 0.500 0.500
Pb 0.000 0.000 0.000
Au 0.136 0.136 0.136
Au 0.400 0.400 0.400
Au 0.600 0.600 0.600
Au 0.864 0.864 0.864